# 1
Here is a relaxed EuMnPd2 crystal from the Alexandria database. Energies are from PBE-GGA.

Output
offset from the most stable computed form: 0.00 eV/f.u.
energy of formation from the pure elements: -0.352 eV per atom
theoretical density: 8.155 g/cm3
energy: -31.24 eV per formula unit

a = 4.454 Å, b = 4.454 Å, c = 5.600 Å
α = 66.57°, β = 66.57°, γ = 60.00°
Each line ends with the local moment (μB).
Positions (direct):
Eu1 0.000 0.000 0.000  6.71
Mn1 0.500 0.500 0.500  3.94
Pd1 0.792 0.792 0.624  0.11
Pd2 0.208 0.208 0.376  0.11

=====

# 2
Here is a relaxed BeGeSbW crystal from the Alexandria database. Energies are from PBE-GGA.

Output
offset from the most stable computed form: 0.54 eV/f.u.
theoretical density: 8.845 g/cm3
formation energy (no corrections): 34.5 kJ per mole of atoms
energy: -23.99 eV per formula unit

a = 2.998 Å, b = 3.584 Å, c = 6.931 Å
α = 90.00°, β = 102.49°, γ = 90.00°
Positions (direct):
Sb1 0.160 0.000 0.970
Ge1 0.853 0.500 0.367
W1 0.535 0.500 0.711
Be1 0.974 0.000 0.586

=====

# 3
Here is a relaxed Pa2Ga2Co5Si crystal from the Alexandria database. Energies are from PBE-GGA.

Output
theoretical density: 10.564 g/cm3
formation energy (no corrections): -21.3 kJ per mole of atoms
energy: -68.20 eV per formula unit

a = 2.873 Å, b = 10.056 Å, c = 10.056 Å
α = 90.00°, β = 90.00°, γ = 90.00°
Each line ends with the local moment (μB).
Positions (direct):
Pa1 0.000 0.671 0.171  0.33
Pa2 0.000 0.329 0.829  0.33
Pa3 0.000 0.171 0.329  0.33
Pa4 0.000 0.829 0.671  0.33
Ga1 0.000 0.133 0.633  0.00
Ga2 0.000 0.867 0.367  0.00
Ga3 0.000 0.633 0.867  0.00
Ga4 0.000 0.367 0.133  0.00
Co1 0.500 0.186 0.049  -0.06
Co2 0.500 0.814 0.951  -0.06
Co3 0.500 0.049 0.814  -0.06
Co4 0.500 0.686 0.451  -0.06
Co5 0.500 0.951 0.186  -0.06
Co6 0.500 0.314 0.549  -0.06
Co7 0.500 0.549 0.686  -0.06
Co8 0.500 0.451 0.314  -0.06
Co9 0.500 0.500 0.000  -0.20
Co10 0.500 0.000 0.500  -0.20
Si1 0.000 0.000 0.000  0.00
Si2 0.000 0.500 0.500  0.00

=====

# 4
Here is a relaxed Sc2TaCu crystal from the Alexandria database. Energies are from PBE-GGA.

Output
offset from the most stable computed form: 0.00 eV/f.u.
energy of formation from the pure elements: -0.048 eV per atom
theoretical density: 7.388 g/cm3
energy: -28.80 eV per formula unit

a = 3.082 Å, b = 3.082 Å, c = 7.914 Å
α = 90.00°, β = 90.00°, γ = 90.00°
Positions (direct):
Cu1 0.500 0.500 0.750
Sc1 0.000 0.000 0.977
Sc2 0.000 0.000 0.523
Ta1 0.500 0.500 0.250

=====

# 5
Here is a relaxed CaPaCl5 crystal from the Alexandria database. Energies are from PBE-GGA.

Output
theoretical density: 3.120 g/cm3
formation energy (no corrections): -182.0 kJ per mole of atoms
energy: -33.93 eV per formula unit

a = 7.350 Å, b = 7.350 Å, c = 10.381 Å
α = 69.15°, β = 69.15°, γ = 71.18°
Each line ends with the local moment (μB).
Positions (direct):
Ca1 0.532 0.468 0.250  0.01
Ca2 0.468 0.532 0.750  0.01
Pa1 0.000 0.000 0.000  1.89
Pa2 0.000 0.000 0.500  1.89
Cl1 0.802 0.697 0.145  -0.01
Cl2 0.280 0.655 0.457  -0.01
Cl3 0.697 0.802 0.645  -0.01
Cl4 0.870 0.130 0.250  -0.02
Cl5 0.345 0.720 0.043  -0.01
Cl6 0.655 0.280 0.957  -0.01
Cl7 0.130 0.870 0.750  -0.02
Cl8 0.303 0.198 0.355  -0.01
Cl9 0.720 0.345 0.543  -0.01
Cl10 0.198 0.303 0.855  -0.01

=====

# 6
Here is a relaxed Pm4PrHo2Tm crystal from the Alexandria database. Energies are from PBE-GGA.

Output
energy of formation from the pure elements: 0.019 eV per atom
theoretical density: 7.651 g/cm3
energy: -37.26 eV per formula unit

a = 3.617 Å, b = 6.236 Å, c = 11.922 Å
α = 79.86°, β = 90.00°, γ = 90.00°
Positions (direct):
Pm1 0.000 0.752 0.746
Pm2 0.000 0.248 0.254
Pm3 0.500 0.750 0.253
Pm4 0.500 0.250 0.747
Pr1 0.500 0.500 0.000
Ho1 0.000 0.000 0.000
Ho2 0.500 0.000 0.500
Tm1 0.000 0.500 0.500

=====

# 7
Here is a relaxed Li2SmTeS4 crystal from the Alexandria database. Energies are from PBE-GGA.

Output
theoretical density: 3.953 g/cm3
formation energy (no corrections): -101.3 kJ per mole of atoms
energy: -36.60 eV per formula unit

a = 7.729 Å, b = 7.729 Å, c = 7.916 Å
α = 118.58°, β = 118.58°, γ = 87.96°
Positions (direct):
Li1 0.500 0.000 0.000
Li2 0.500 0.000 0.500
Li3 0.000 0.000 0.500
Li4 0.500 0.500 0.000
Sm1 0.000 0.500 0.000
Sm2 0.000 0.500 0.500
Te1 0.500 0.500 0.500
Te2 0.000 0.000 0.000
S1 0.241 0.742 0.979
S2 0.758 0.259 0.521
S3 0.242 0.741 0.479
S4 0.759 0.258 0.021
S5 0.778 0.795 0.044
S6 0.705 0.722 0.456
S7 0.295 0.278 0.544
S8 0.222 0.205 0.956

=====

# 8
Here is a relaxed CaMg2Sc2 crystal from the Alexandria database. Energies are from PBE-GGA.

Output
offset from the most stable computed form: 0.24 eV/f.u.
energy of formation from the pure elements: 0.104 eV per atom
theoretical density: 2.181 g/cm3
energy: -17.34 eV per formula unit

a = 8.856 Å, b = 8.856 Å, c = 3.468 Å
α = 90.00°, β = 90.00°, γ = 90.00°
Each line ends with the local moment (μB).
Positions (direct):
Sc1 0.154 0.654 0.500  0.41
Sc2 0.654 0.846 0.500  0.40
Sc3 0.846 0.346 0.500  0.41
Sc4 0.346 0.154 0.500  0.40
Ca1 0.000 0.000 0.000  0.05
Ca2 0.500 0.500 0.000  0.05
Mg1 0.361 0.861 0.000  0.01
Mg2 0.861 0.639 0.000  0.01
Mg3 0.639 0.139 0.000  0.01
Mg4 0.139 0.361 0.000  0.01

=====

# 9
Here is a relaxed YAgSeS crystal from the Alexandria database. Energies are from PBE-GGA.

Output
theoretical density: 5.404 g/cm3
formation energy (no corrections): -119.9 kJ per mole of atoms
energy: -21.90 eV per formula unit

a = 4.430 Å, b = 4.430 Å, c = 11.420 Å
α = 78.82°, β = 78.82°, γ = 60.00°
Positions (direct):
Y1 0.612 0.612 0.164
Y2 0.388 0.388 0.836
Ag1 0.809 0.809 0.574
Ag2 0.191 0.191 0.426
Se1 0.108 0.108 0.675
Se2 0.892 0.892 0.325
S1 0.697 0.697 0.909
S2 0.303 0.303 0.091

=====

# 10
Here is a relaxed LaMnSi crystal from the Alexandria database. Energies are from PBE-GGA.

Output
theoretical density: 4.951 g/cm3
formation energy (no corrections): -6.9 kJ per mole of atoms
energy: -19.73 eV per formula unit

a = 4.722 Å, b = 4.722 Å, c = 4.722 Å
α = 60.00°, β = 60.00°, γ = 60.00°
Each line ends with the local moment (μB).
Positions (direct):
La1 0.000 0.000 0.000  0.06
Mn1 0.500 0.500 0.500  -3.91
Si1 0.750 0.750 0.750  0.02

=====

# 11
Here is a relaxed LiTaNb2Fe crystal from the Alexandria database. Energies are from PBE-GGA.

Output
energy of formation from the pure elements: 0.931 eV per atom
theoretical density: 9.198 g/cm3
energy: -37.71 eV per formula unit

a = 4.573 Å, b = 3.708 Å, c = 4.573 Å
α = 90.00°, β = 90.00°, γ = 90.00°
Positions (direct):
Nb1 0.000 0.000 0.500
Nb2 0.500 0.000 0.000
Li1 0.000 0.000 0.000
Fe1 0.000 0.500 0.000
Ta1 0.500 0.500 0.500

=====

# 12
Here is a relaxed Li2LaSe crystal from the Alexandria database. Energies are from PBE-GGA.

Output
theoretical density: 4.173 g/cm3
formation energy (no corrections): -49.5 kJ per mole of atoms
energy: -14.29 eV per formula unit

a = 5.075 Å, b = 5.075 Å, c = 5.075 Å
α = 120.15°, β = 120.15°, γ = 89.73°
Positions (direct):
La1 0.750 0.250 0.500
Li1 0.000 0.000 0.000
Li2 0.250 0.750 0.500
Se1 0.500 0.500 0.000

=====

# 13
Here is a relaxed Pr2YTh3Bi6 crystal from the Alexandria database. Energies are from PBE-GGA.

Output
energy of formation from the pure elements: -0.756 eV per atom
theoretical density: 9.374 g/cm3
energy: -70.64 eV per formula unit

a = 4.596 Å, b = 9.173 Å, c = 10.275 Å
α = 102.83°, β = 102.92°, γ = 90.00°
Positions (direct):
Pr1 0.834 0.667 0.667
Pr2 0.166 0.333 0.333
Y1 0.500 0.000 0.000
Th1 0.500 0.500 0.000
Th2 0.831 0.166 0.663
Th3 0.169 0.834 0.337
Bi1 0.336 0.920 0.673
Bi2 0.666 0.584 0.332
Bi3 0.664 0.080 0.327
Bi4 0.998 0.244 0.997
Bi5 0.002 0.756 0.003
Bi6 0.334 0.416 0.668

=====

# 14
Here is a relaxed NaInBr2 crystal from the Alexandria database. Energies are from PBE-GGA.

Output
offset from the most stable computed form: 0.00 eV/f.u.
theoretical density: 3.833 g/cm3
formation energy (no corrections): -105.1 kJ per mole of atoms
energy: -11.76 eV per formula unit

a = 4.437 Å, b = 4.437 Å, c = 7.987 Å
α = 73.87°, β = 73.87°, γ = 59.97°
Positions (direct):
Na1 0.000 0.000 0.000
In1 0.500 0.500 0.500
Br1 0.740 0.740 0.781
Br2 0.260 0.260 0.219

=====

# 15
Here is a relaxed La6P2S3N crystal from the Alexandria database. Energies are from PBE-GGA.

Output
theoretical density: 5.548 g/cm3
formation energy (no corrections): -176.9 kJ per mole of atoms
energy: -83.09 eV per formula unit

a = 4.114 Å, b = 8.334 Å, c = 9.279 Å
α = 103.66°, β = 102.81°, γ = 90.00°
Positions (direct):
La1 0.347 0.922 0.695
La2 0.667 0.582 0.333
La3 0.653 0.078 0.305
La4 0.000 0.220 0.000
La5 0.000 0.780 0.000
La6 0.333 0.418 0.667
P1 0.835 0.669 0.670
P2 0.165 0.331 0.330
S1 0.500 0.500 0.000
S2 0.831 0.164 0.662
S3 0.169 0.836 0.338
N1 0.500 0.000 0.000

=====

# 16
Here is a relaxed KAu2 crystal from the Alexandria database. Energies are from PBE-GGA.

Output
energy of formation from the pure elements: 0.091 eV per atom
theoretical density: 9.554 g/cm3
energy: -7.38 eV per formula unit

a = 5.381 Å, b = 5.381 Å, c = 6.003 Å
α = 90.00°, β = 90.00°, γ = 120.00°
Positions (direct):
K1 0.333 0.667 0.250
K2 0.667 0.333 0.750
Au1 0.000 0.000 0.000
Au2 0.000 0.000 0.500
Au3 0.333 0.667 0.750
Au4 0.667 0.333 0.250

=====

# 17
Here is a relaxed PmDy6Ho crystal from the Alexandria database. Energies are from PBE-GGA.

Output
offset from the most stable computed form: 1.47 eV/f.u.
energy of formation from the pure elements: 0.204 eV per atom
theoretical density: 8.290 g/cm3
energy: -35.31 eV per formula unit

a = 6.715 Å, b = 6.528 Å, c = 6.956 Å
α = 104.44°, β = 61.68°, γ = 89.90°
Positions (direct):
Pm1 0.000 0.000 0.000
Dy1 0.097 0.728 0.473
Dy2 0.576 0.769 0.519
Dy3 0.424 0.231 0.481
Dy4 0.903 0.272 0.527
Dy5 0.545 0.748 0.998
Dy6 0.455 0.252 0.002
Ho1 0.000 0.500 0.000

=====

# 18
Here is a relaxed TlRu2Pt2 crystal from the Alexandria database. Energies are from PBE-GGA.

Output
energy of formation from the pure elements: 0.380 eV per atom
theoretical density: 14.889 g/cm3
energy: -31.10 eV per formula unit

a = 7.255 Å, b = 7.255 Å, c = 7.255 Å
α = 151.12°, β = 151.12°, γ = 41.30°
Positions (direct):
Tl1 0.000 0.000 0.000
Ru1 0.250 0.750 0.500
Ru2 0.750 0.250 0.500
Pt1 0.603 0.603 0.000
Pt2 0.397 0.397 0.000

=====

# 19
Here is a relaxed Ac5SmGe4 crystal from the Alexandria database. Energies are from PBE-GGA.

Output
energy of formation from the pure elements: -0.523 eV per atom
theoretical density: 7.178 g/cm3
energy: -48.96 eV per formula unit

a = 4.585 Å, b = 8.369 Å, c = 10.639 Å
α = 113.25°, β = 102.44°, γ = 90.00°
Positions (direct):
Ac1 0.837 0.589 0.675
Ac2 0.838 0.089 0.676
Ac3 0.162 0.911 0.324
Ac4 0.500 0.500 0.000
Ac5 0.163 0.411 0.325
Sm1 0.500 0.000 0.000
Ge1 0.307 0.809 0.615
Ge2 0.000 0.764 0.000
Ge3 0.693 0.191 0.385
Ge4 0.000 0.236 0.000

=====

# 20
Here is a relaxed Sm3YFe crystal from the Alexandria database. Energies are from PBE-GGA.

Output
energy of formation from the pure elements: 0.180 eV per atom
theoretical density: 6.456 g/cm3
energy: -28.19 eV per formula unit

a = 5.351 Å, b = 5.351 Å, c = 5.351 Å
α = 90.00°, β = 90.00°, γ = 90.00°
Positions (direct):
Y1 0.500 0.500 0.500
Fe1 0.000 0.000 0.000
Sm1 0.000 0.500 0.000
Sm2 0.000 0.000 0.500
Sm3 0.500 0.000 0.000